Entry 1:
Material: AcPuGe2
Method: DFT, PBE-GGA
State: optimized geometry

For the energy relative to the elements, the calculation gives -0.401 eV/atom. The calculation puts the density of states at the Fermi level at 2.7687 states/eV per atom. The volume comes out at 341 Å³/cell.

The structure belongs to space group R-3m (No. 166, hexagonal axes); the cell edges are 4.7488, 4.7488 and 17.4409 Å and the angles 90.00°, 90.00° and 120.00°. The asymmetric unit holds Ac at (0.0000, 0.0000, 0.0000), Pu at (0.0000, 0.0000, 0.5000) and Ge at (0.0000, 0.0000, 0.2287).



Entry 2:
Material: AcPu2Ge
Method: DFT, PBE-GGA
State: optimized geometry

For the energy relative to the elements, the calculation gives 0.102 eV/atom. For the energy above the most stable polymorph in this dataset, the calculation gives 92 kJ/mol of formula units. The calculation puts the density of states at the Fermi level at 3.2872 states/eV per atom. The volume comes out at 428 Å³/cell.

The structure belongs to space group Fm-3m (No. 225); the cell edges are 7.5382, 7.5382 and 7.5382 Å and the angles 90.00°, 90.00° and 90.00°. The asymmetric unit holds Ac at (0.0000, 0.0000, 0.0000), Pu at (0.2500, 0.2500, 0.2500) and Ge at (0.0000, 0.0000, 0.5000).



Entry 3:
Material: AcPu2Ge
Method: DFT, PBE-GGA
State: optimized geometry

For the energy relative to the elements, the calculation gives 0.080 eV/atom. For the energy above the most stable polymorph in this dataset, the calculation gives 84 kJ/mol of formula units. The calculation puts the density of states at the Fermi level at 3.9231 states/eV per atom. The volume comes out at 376 Å³/cell.

The structure belongs to space group R-3m (No. 166, hexagonal axes); the cell edges are 4.9376, 4.9376 and 17.7957 Å and the angles 90.00°, 90.00° and 120.00°. The asymmetric unit holds Ac at (0.0000, 0.0000, 0.0000), Pu at (0.0000, 0.0000, 0.2098) and Ge at (0.0000, 0.0000, 0.5000).



Entry 4:
Material: AcPu2Ge4
Method: DFT, PBE-GGA
State: optimized geometry

For the energy relative to the elements, the calculation gives -0.492 eV/atom. The calculation puts the density of states at the Fermi level at 2.9785 states/eV per atom. The volume comes out at 346 Å³/cell.

The structure belongs to space group Immm (No. 71); the cell edges are 4.1316, 4.4739 and 18.6983 Å and the angles 90.00°, 90.00° and 90.00°. The asymmetric unit holds Ac at (0.0000, 0.0000, 0.0000), Pu at (0.0000, 0.5000, 0.3158), Ge at (0.0000, 0.0000, 0.4284) and Ge at (0.0000, 0.5000, 0.1555).



Total DFT energy (no corrections), record by record: -7.3199 -9.2449 -9.2674 -7.8127 eV per atom